Entry 1:
Below is crystalline Pm12Dy5Y at its relaxed geometry, with properties calculated at the PBE level.

Lattice parameters (Å, degrees): 10.611 10.611 5.996 90.01 90.01 116.43
Fractional coordinates of all 18 atoms:
Pm (0.007, 0.671, 0.994)
Pm (0.163, 0.163, 0.494)
Pm (0.171, 0.506, 0.506)
Pm (0.329, 0.993, 0.006)
Pm (0.336, 0.336, 0.994)
Pm (0.494, 0.829, 0.494)
Pm (0.506, 0.171, 0.506)
Pm (0.664, 0.664, 0.006)
Pm (0.671, 0.007, 0.994)
Pm (0.829, 0.494, 0.494)
Pm (0.837, 0.837, 0.506)
Pm (0.993, 0.329, 0.006)
Dy (0.000, 0.000, 0.000)
Dy (0.166, 0.834, 0.500)
Dy (0.335, 0.665, 0.000)
Dy (0.665, 0.335, 0.000)
Dy (0.834, 0.166, 0.500)
Y (0.500, 0.500, 0.500)

Results
total magnetic moment = 0.00 Bohr magnetons per cell
energy of formation = 0.109 eV/atom
space group = C2/m, No. 12

Entry 2:
Below is crystalline MgAlCr4 at its relaxed geometry, with properties calculated at the PBE level.

Lattice parameters (Å, degrees): 4.863 4.863 4.863 60.00 60.00 60.00
Fractional coordinates of all 6 atoms:
Mg (0.000, 0.000, 0.000)
Al (0.750, 0.750, 0.750)
Cr (0.375, 0.375, 0.375)
Cr (0.375, 0.375, 0.876)
Cr (0.375, 0.876, 0.375)
Cr (0.876, 0.375, 0.375)

Results
total magnetic moment = 0.00 Bohr magnetons per cell
energy of formation = 0.252 eV/atom
space group = F-43m, No. 216